Entry 1:
Entry from Alexandria: a relaxed BaCaRh3 crystal (PBE-GGA).

```
BaCaRh3
1.0
5.1239 0.0000 0.0000
0.0000 5.1239 0.0000
0.0000 0.0000 5.1239
Ba Ca Rh
1 1 3
direct
0.0000 0.0000 0.0000 Ba
0.5000 0.5000 0.5000 Ca
0.0000 0.0000 0.5000 Rh
0.0000 0.5000 0.0000 Rh
0.5000 0.0000 0.0000 Rh
```

Summary:
E above lowest polymorph: 367 meV per atom
Crystal system: cubic
Raw total energy: -4.117 eV per atom
Total magnetic moment: 0.46 μB/cell
Calculated volume: 135 Å³/cell
Calculated formation energy: 1.079 eV/atom

=====

Entry 2:
Entry from Alexandria: a relaxed PuHfP crystal (PBE-GGA).

```
PuHfP
1.0
1.8338 1.0588 9.8927
-1.8338 1.0588 9.8927
0.0000 -2.1175 9.8927
Pu Hf P
2 2 2
direct
0.1476 0.1476 0.1476 Pu
0.8524 0.8524 0.8524 Pu
0.3749 0.3749 0.3749 Hf
0.6251 0.6251 0.6251 Hf
0.2442 0.2442 0.2442 P
0.7558 0.7558 0.7558 P
```

Summary:
E above lowest polymorph: 0 meV per atom
Crystal system: trigonal
Raw total energy: -10.471 eV per atom
Total magnetic moment: 0.00 μB/cell
Calculated volume: 115 Å³/cell
Calculated formation energy: -0.573 eV/atom

=====

Entry 3:
Entry from Alexandria: a relaxed Pm2Cd12Ag5 crystal (PBE-GGA).

```
Pm2Cd12Ag5
1.0
4.9670 2.8677 4.8991
-4.9670 2.8677 4.8991
0.0000 -5.7354 4.8991
Pm Cd Ag
2 12 5
direct
0.1665 0.1665 0.1665 Pm
0.8335 0.8335 0.8335 Pm
0.1485 0.1485 0.6513 Cd
0.1485 0.6513 0.1485 Cd
0.2029 0.5000 0.7971 Cd
0.2029 0.7971 0.5000 Cd
0.3487 0.8515 0.8515 Cd
0.5000 0.2029 0.7971 Cd
0.5000 0.7971 0.2029 Cd
0.6513 0.1485 0.1485 Cd
0.7971 0.2029 0.5000 Cd
0.7971 0.5000 0.2029 Cd
0.8515 0.3487 0.8515 Cd
0.8515 0.8515 0.3487 Cd
0.0000 0.5000 0.5000 Ag
0.3955 0.3955 0.3955 Ag
0.5000 0.0000 0.5000 Ag
0.5000 0.5000 0.0000 Ag
0.6045 0.6045 0.6045 Ag
```

Summary:
Crystal system: trigonal
Raw total energy: -1.976 eV per atom
Total magnetic moment: 0.00 μB/cell
Calculated volume: 419 Å³/cell
Calculated formation energy: -0.148 eV/atom

=====

Entry 4:
Entry from Alexandria: a relaxed Na2HgSbH crystal (PBE-GGA).

```
Na2HgSbH
1.0
5.3169 0.0000 0.0000
0.0000 5.3169 0.0000
0.0000 0.0000 4.0553
Na Hg Sb H
2 1 1 1
direct
0.0000 0.5000 0.0000 Na
0.5000 0.0000 0.0000 Na
0.0000 0.0000 0.5000 Hg
0.5000 0.5000 0.5000 Sb
0.5000 0.5000 0.0000 H
```

Summary:
E above lowest polymorph: 51 meV per atom
Crystal system: tetragonal
Raw total energy: -2.177 eV per atom
Total magnetic moment: 0.00 μB/cell
Calculated volume: 115 Å³/cell

=====

Entry 5:
Entry from Alexandria: a relaxed GdScCdRu crystal (PBE-GGA).

```
GdScCdRu
1.0
0.0000 3.4837 3.4837
3.4837 0.0000 3.4837
3.4837 3.4837 0.0000
Gd Sc Cd Ru
1 1 1 1
direct
0.0000 0.0000 0.0000 Gd
0.5000 0.5000 0.5000 Sc
0.2500 0.2500 0.2500 Cd
0.7500 0.7500 0.7500 Ru
```

Summary:
Crystal system: cubic
Raw total energy: -7.925 eV per atom
Total magnetic moment: 7.14 μB/cell
Calculated volume: 85 Å³/cell
Calculated formation energy: -0.274 eV/atom

=====

Entry 6:
Entry from Alexandria: a relaxed TbPm2Dy6Y3 crystal (PBE-GGA).

```
TbPm2Dy6Y3
1.0
3.0924 -5.3516 0.0000
3.0924 5.3516 0.0000
-2.0503 0.0000 11.6467
Tb Pm Dy Y
1 2 6 3
direct
0.0000 0.0000 0.0000 Tb
0.3334 0.6666 0.0000 Pm
0.6666 0.3334 0.0000 Pm
0.0843 0.4172 0.2511 Dy
0.2485 0.2485 0.7487 Dy
0.4172 0.0843 0.2511 Dy
0.5828 0.9157 0.7489 Dy
0.7515 0.7515 0.2513 Dy
0.9157 0.5828 0.7489 Dy
0.1665 0.8335 0.5000 Y
0.5000 0.5000 0.5000 Y
0.8335 0.1665 0.5000 Y
```

Summary:
Crystal system: monoclinic
Raw total energy: -5.077 eV per atom
Total magnetic moment: 0.00 μB/cell
Calculated volume: 385 Å³/cell
Calculated formation energy: 0.017 eV/atom

=====

Entry 7:
Entry from Alexandria: a relaxed AcLa6Pr2Nd crystal (PBE-GGA).

```
AcLa6Pr2Nd
1.0
5.0081 -7.8493 0.0000
5.0081 7.8493 0.0000
-0.2931 0.0000 9.5054
Ac La Pr Nd
2 12 4 2
direct
0.0666 0.9334 0.7500 Ac
0.9334 0.0666 0.2500 Ac
0.0283 0.4718 0.3223 La
0.0765 0.7699 0.0884 La
0.2301 0.9235 0.4116 La
0.2796 0.5689 0.9024 La
0.4311 0.7204 0.5976 La
0.4718 0.0283 0.8223 La
0.5282 0.9717 0.1777 La
0.5689 0.2796 0.4024 La
0.7204 0.4311 0.0976 La
0.7699 0.0765 0.5884 La
0.9235 0.2301 0.9116 La
0.9717 0.5282 0.6777 La
0.2071 0.3029 0.5638 Pr
0.3029 0.2071 0.0638 Pr
0.6971 0.7929 0.9362 Pr
0.7929 0.6971 0.4362 Pr
0.4236 0.5764 0.2500 Nd
0.5764 0.4236 0.7500 Nd
```

Summary:
Crystal system: monoclinic
Raw total energy: -4.695 eV per atom
Total magnetic moment: 0.00 μB/cell
Calculated volume: 747 Å³/cell
Calculated formation energy: 0.105 eV/atom

=====

Entry 8:
Entry from Alexandria: a relaxed LaLuScZn crystal (PBE-GGA).

```
LaLuScZn
1.0
0.0000 3.7370 3.7370
3.7370 0.0000 3.7370
3.7370 3.7370 0.0000
La Lu Sc Zn
1 1 1 1
direct
0.0000 0.0000 0.0000 La
0.5000 0.5000 0.5000 Lu
0.7500 0.7500 0.7500 Sc
0.2500 0.2500 0.2500 Zn
```

Summary:
Crystal system: cubic
Raw total energy: -4.262 eV per atom
Total magnetic moment: 0.00 μB/cell
Calculated volume: 104 Å³/cell
Calculated formation energy: 0.001 eV/atom

=====

Entry 9:
Entry from Alexandria: a relaxed Cs4La2Ru crystal (PBE-GGA).

```
Cs4La2Ru
1.0
-2.9355 2.9355 10.7014
2.9355 -2.9355 10.7014
2.9355 2.9355 -10.7014
Cs La Ru
4 2 1
direct
0.0000 0.5000 0.5000 Cs
0.1838 0.1838 0.0000 Cs
0.5000 0.0000 0.5000 Cs
0.8162 0.8162 0.0000 Cs
0.4155 0.4155 0.0000 La
0.5845 0.5845 0.0000 La
0.0000 0.0000 0.0000 Ru
```

Summary:
Crystal system: tetragonal
Raw total energy: -1.988 eV per atom
Total magnetic moment: 0.00 μB/cell
Calculated volume: 369 Å³/cell
Calculated formation energy: 1.232 eV/atom

=====

Entry 10:
Entry from Alexandria: a relaxed CrCuSe2 crystal (PBE-GGA).

```
CrCuSe2
1.0
3.4803 0.0000 0.0000
0.0000 3.5375 0.0000
0.0000 0.0000 7.1169
Cr Cu Se
1 1 2
direct
0.0000 0.0000 0.0000 Cr
0.0000 0.5000 0.5000 Cu
0.5000 0.0000 0.5000 Se
0.5000 0.5000 0.0000 Se
```

Summary:
Energy relative to the elements, uncorrected: 65 meV per atom
E above lowest polymorph: 434 meV per atom
Crystal system: orthorhombic
Raw total energy: -5.107 eV per atom
Total magnetic moment: 3.67 μB/cell
Calculated volume: 88 Å³/cell

=====

Entry 11:
Entry from Alexandria: a relaxed Nd2Sm6Y3Tm crystal (PBE-GGA).

```
Nd2Sm6Y3Tm
1.0
3.1295 -5.4191 0.0000
3.1295 5.4191 0.0000
-2.0816 0.0000 11.7729
Nd Sm Y Tm
2 6 3 1
direct
0.1666 0.8334 0.0000 Nd
0.8334 0.1666 0.0000 Nd
0.0843 0.4162 0.7487 Sm
0.2518 0.2518 0.2517 Sm
0.4162 0.0843 0.7487 Sm
0.5838 0.9157 0.2513 Sm
0.7482 0.7482 0.7483 Sm
0.9157 0.5838 0.2513 Sm
0.0000 0.0000 0.5000 Y
0.3337 0.6663 0.5000 Y
0.6663 0.3337 0.5000 Y
0.5000 0.5000 0.0000 Tm
```

Summary:
Crystal system: monoclinic
Raw total energy: -5.128 eV per atom
Total magnetic moment: 0.00 μB/cell
Calculated volume: 399 Å³/cell
Calculated formation energy: 0.014 eV/atom

=====

Entry 12:
Entry from Alexandria: a relaxed Y8Hg2Os crystal (PBE-GGA).

```
Y8Hg2Os
1.0
-2.5470 4.1814 7.0486
2.5470 -4.1814 7.0486
2.5470 4.1814 -7.0486
Y Hg Os
8 2 1
direct
0.1196 0.3521 0.7675 Y
0.1217 0.1217 0.0000 Y
0.3300 0.0000 0.3300 Y
0.4154 0.6479 0.7675 Y
0.5846 0.3521 0.2325 Y
0.6700 0.0000 0.6700 Y
0.8783 0.8783 0.0000 Y
0.8804 0.6479 0.2325 Y
0.2999 0.7999 0.5000 Hg
0.7001 0.2001 0.5000 Hg
0.0000 0.5000 0.5000 Os
```

Summary:
E above lowest polymorph: 136 meV per atom
Crystal system: orthorhombic
Raw total energy: -5.907 eV per atom
Total magnetic moment: 0.00 μB/cell
Calculated volume: 300 Å³/cell
Calculated formation energy: -0.130 eV/atom